# 1
VASP calculation (GGA-PBE) on a relaxed structure of TePW2.

Lattice parameters (Å, degrees): 3.1864 3.1864 6.5169 90.00 90.00 90.00
Last column: nearest neighbours and their distance in Å.
Space group P4/mmm (No. 123)
Symmetry-distinct sites (fractional):
Te 0.0000 0.0000 0.0000 [1 per cell]  8 W 2.97, 4 Te 3.19, 2 P 3.26
P 0.0000 0.0000 0.5000 [1 per cell]  8 W 2.62
W 0.5000 0.5000 0.2963 [2 per cell]  4 P 2.62, 1 W 2.66

density of states at the Fermi level: 2.36 states/eV/f.u.
ΔE to the lowest computed polymorph: 133 meV per atom
total moment: 0.000 μB/atom
E_form (uncorrected): 0.3189 eV/atom
volume: 66.17 Å³/f.u.


# 2
VASP calculation (GGA-PBE) on a relaxed structure of Pa4P6Rh5.

Lattice parameters (Å, degrees): 3.9351 18.5782 14.5442 90.00 90.00 90.00
Last column: nearest neighbours and their distance in Å.
Space group Cmc2_1 (No. 36)
Symmetry-distinct sites (fractional):
Pa 0.0000 0.0111 0.0000 [4 per cell]  7 P 2.92-3.11, 3 Rh 3.07-3.17
Pa 0.0000 0.0287 0.2696 [4 per cell]  5 Rh 2.85-3.03, 6 P 2.93-3.00
Pa 0.0000 0.1699 0.8055 [4 per cell]  6 P 2.79-2.87
Pa 0.0000 0.1845 0.4438 [4 per cell]  6 P 2.76-2.84
P 0.0000 0.1188 0.6196 [4 per cell]  4 Rh 2.45-2.47
P 0.0000 0.2184 0.9927 [4 per cell]  4 Rh 2.36-2.48
P 0.0000 0.2306 0.2573 [4 per cell]  4 Rh 2.39-2.48
P 0.0000 0.4190 0.9103 [4 per cell]  1 Rh 2.39
P 0.0000 0.4216 0.6314 [4 per cell]  5 Rh 2.36-2.43
P 0.0000 0.4308 0.3518 [4 per cell]  1 Rh 2.35
Rh 0.0000 0.1491 0.1287 [4 per cell]  4 P 2.36-2.41
Rh 0.0000 0.3027 0.1210 [4 per cell]  4 P 2.39-2.45
Rh 0.0000 0.3499 0.7714 [4 per cell]  4 P 2.39-2.48
Rh 0.0000 0.3624 0.4876 [4 per cell]  4 P 2.35-2.48
Rh 0.0000 0.4532 0.1652 [4 per cell]  3 P 2.38-2.47

density of states at the Fermi level: 11.76 states/eV/f.u.
energy: -491.52 eV for the cell shown
total moment: 0.006 μB/atom
volume: 265.82 Å³/f.u.


# 3
VASP calculation (GGA-PBE) on a relaxed structure of SrEu2Sc.

Lattice parameters (Å, degrees): 4.0366 4.0366 9.6093 90.00 90.00 90.00
Last column: nearest neighbours and their distance in Å.
Space group P4/mmm (No. 123)
Symmetry-distinct sites (fractional):
Sr 0.0000 0.0000 0.0000 [1 per cell]  8 Eu 4.03, 4 Sr 4.04
Eu 0.5000 0.5000 0.2964 [2 per cell]  4 Sc 3.46
Sc 0.0000 0.0000 0.5000 [1 per cell]  8 Eu 3.46

density of states at the Fermi level: 11.09 states/eV/f.u.
ΔE to the lowest computed polymorph: 0 meV per atom
total moment: 3.719 μB/atom
volume: 156.58 Å³/f.u.


# 4
VASP calculation (GGA-PBE) on a relaxed structure of Y2HoEr.

Lattice parameters (Å, degrees): 5.0123 5.0123 5.0150 90.00 90.00 90.00
Last column: nearest neighbours and their distance in Å.
Space group P4/mmm (No. 123)
Symmetry-distinct sites (fractional):
Y 0.0000 0.5000 0.0000 [2 per cell]  4 Y 3.54, 4 Ho 3.55, 4 Er 3.55
Ho 0.0000 0.0000 0.5000 [1 per cell]  4 Er 3.54, 8 Y 3.55
Er 0.5000 0.5000 0.5000 [1 per cell]  4 Ho 3.54, 8 Y 3.55

density of states at the Fermi level: 5.87 states/eV/f.u.
ΔE to the lowest computed polymorph: 25 meV per atom
total moment: 0.000 μB/atom
volume: 125.99 Å³/f.u.